Computed, not measured: a geometry-optimized ErTh2Co structure at the GGA-PBE level of DFT.

a b c (Å): 3.8054 3.8054 9.2037
angles (deg): 78.07 78.07 60.00
Fractional positions:
Th1 0.0608 0.0608 0.8176
Th2 0.2736 0.2736 0.1793
Co1 0.6666 0.6666 0.0002
Er1 0.4991 0.4991 0.5028

Properties
* DFT total energy: -0.246 Ha/atom
* calculated volume: 28.021 A^3/atom
* DOS(E_F): 4.548 states/eV/f.u.
* DFT formation energy: -0.069 eV per atom
* distance to the lowest polymorph of the same formula: 114.3 meV/atom
* spin magnetization: 0.000 μB/f.u.